Density functional theory data (PBE) for Sr2HfPt2 after structural relaxation.

Calculated values
**Formation energy from the elements**: -0.027 eV/atom
**E**: -25.5 eV/f.u.
**E above lowest polymorph**: 602 meV/atom

Unit cell a=8.727 b=8.727 c=3.145 alpha=90.00 beta=90.00 gamma=90.00
Fractional positions:
Sr1 0.370 0.870 0.000
Pt1 0.825 0.325 0.500
Hf1 0.000 0.000 0.000
Sr2 0.630 0.130 0.000
Pt2 0.325 0.175 0.500
Pt3 0.175 0.675 0.500
Sr3 0.870 0.630 0.000
Pt4 0.675 0.825 0.500
Sr4 0.130 0.370 0.000
Hf2 0.500 0.500 0.000